ScGe2Pd7 | PBE | relaxed

a = 4.051 Å, b = 4.051 Å, c = 10.480 Å
α = 101.14°, β = 101.14°, γ = 90.00°
Element x y z (fractional)
Pd 0.100 0.600 0.200
Pd 0.600 0.100 0.200
Pd 0.500 0.500 0.000
Pd 0.900 0.400 0.800
Pd 0.250 0.750 0.500
Pd 0.400 0.900 0.800
Pd 0.750 0.250 0.500
Ge 0.327 0.327 0.654
Ge 0.673 0.673 0.346
Sc 0.000 0.000 0.000

Space-group type: No. 139
Energy above the most stable polymorph in this dataset: 0.000 eV per atom
D(E_F): 0.396 states/eV/atom